Entry from the Alexandria database: a relaxed MnTlFe2 crystal (PBE).

Unit cell a=2.771 b=2.771 c=7.565 alpha=90.00 beta=90.00 gamma=90.00
Fractional coordinates of all 4 atoms:
Mn (0.000, 0.000, 0.000)
Tl (0.000, 0.000, 0.500)
Fe (0.500, 0.500, 0.208)
Fe (0.500, 0.500, 0.792)

Crystal system: tetragonal
Distance to the lowest polymorph of the same formula: 18.1 kJ/mol of atoms
Space group: P4/mmm, No. 123



Entry from the Alexandria database: a relaxed MnTlFe2 crystal (PBE).

Unit cell a=8.592 b=8.592 c=8.592 alpha=19.90 beta=19.90 gamma=19.90
Fractional coordinates of all 4 atoms:
Mn (0.000, 0.000, 0.000)
Tl (0.238, 0.238, 0.238)
Fe (0.478, 0.478, 0.478)
Fe (0.744, 0.744, 0.744)

Crystal system: trigonal
Distance to the lowest polymorph of the same formula: 20.3 kJ/mol of atoms
Space group: R3m, No. 160



Entry from the Alexandria database: a relaxed MnTlFe2 crystal (PBE).

Unit cell a=3.820 b=3.820 c=4.053 alpha=90.00 beta=90.00 gamma=90.00
Fractional coordinates of all 4 atoms:
Mn (0.000, 0.000, 0.000)
Tl (0.500, 0.500, 0.000)
Fe (0.000, 0.500, 0.500)
Fe (0.500, 0.000, 0.500)

Crystal system: tetragonal
Distance to the lowest polymorph of the same formula: 6.8 kJ/mol of atoms
Space group: P4/mmm, No. 123



Entry from the Alexandria database: a relaxed MnTlFe2 crystal (PBE).

Unit cell a=8.533 b=8.533 c=8.533 alpha=19.57 beta=19.57 gamma=19.57
Fractional coordinates of all 4 atoms:
Mn (0.000, 0.000, 0.000)
Tl (0.500, 0.500, 0.500)
Fe (0.261, 0.261, 0.261)
Fe (0.739, 0.739, 0.739)

Crystal system: trigonal
Distance to the lowest polymorph of the same formula: 29.9 kJ/mol of atoms
Space group: R-3m, No. 166



Entry from the Alexandria database: a relaxed MnTlFe2 crystal (PBE).

Unit cell a=4.373 b=4.373 c=4.373 alpha=60.00 beta=60.00 gamma=60.00
Fractional coordinates of all 4 atoms:
Mn (0.000, 0.000, 0.000)
Tl (0.250, 0.250, 0.250)
Fe (0.500, 0.500, 0.500)
Fe (0.750, 0.750, 0.750)

Crystal system: cubic
Distance to the lowest polymorph of the same formula: 8.0 kJ/mol of atoms
Space group: F-43m, No. 216



Entry from the Alexandria database: a relaxed MnTlFe3 crystal (PBE).

Unit cell a=4.783 b=4.783 c=4.783 alpha=90.00 beta=90.00 gamma=90.00
Fractional coordinates of all 5 atoms:
Mn (0.000, 0.000, 0.000)
Tl (0.500, 0.500, 0.500)
Fe (0.000, 0.500, 0.500)
Fe (0.500, 0.000, 0.500)
Fe (0.500, 0.500, 0.000)

Crystal system: cubic
Distance to the lowest polymorph of the same formula: 119.5 kJ/mol of atoms
Space group: Pm-3m, No. 221



Entry from the Alexandria database: a relaxed MnTlFe2 crystal (PBE).

Unit cell a=3.125 b=3.125 c=5.906 alpha=90.00 beta=90.00 gamma=90.00
Fractional coordinates of all 4 atoms:
Mn (0.000, 0.000, 0.000)
Tl (0.000, 0.000, 0.500)
Fe (0.500, 0.500, 0.194)
Fe (0.500, 0.500, 0.806)

Crystal system: tetragonal
Distance to the lowest polymorph of the same formula: 5.2 kJ/mol of atoms
Space group: P4/mmm, No. 123



Entry from the Alexandria database: a relaxed MnTlFe2 crystal (PBE).

Unit cell a=3.080 b=3.080 c=6.348 alpha=90.00 beta=90.00 gamma=90.00
Fractional coordinates of all 4 atoms:
Mn (0.000, 0.000, 0.000)
Tl (0.500, 0.500, 0.302)
Fe (0.000, 0.000, 0.591)
Fe (0.500, 0.500, 0.784)

Crystal system: tetragonal
Distance to the lowest polymorph of the same formula: 0.0 kJ/mol of atoms
Space group: P4mm, No. 99



Entry from the Alexandria database: a relaxed MnTlFe2 crystal (PBE).

Unit cell a=4.626 b=4.626 c=4.626 alpha=128.59 beta=128.59 gamma=75.68
Fractional coordinates of all 4 atoms:
Mn (0.000, 0.000, 0.000)
Tl (0.250, 0.750, 0.500)
Fe (0.500, 0.500, 0.000)
Fe (0.750, 0.250, 0.500)

Crystal system: tetragonal
Distance to the lowest polymorph of the same formula: 7.3 kJ/mol of atoms
Space group: I-4m2, No. 119



Entry from the Alexandria database: a relaxed Mn3TlFe crystal (PBE).

Unit cell a=4.417 b=4.417 c=4.417 alpha=90.00 beta=90.00 gamma=90.00
Fractional coordinates of all 5 atoms:
Mn (0.000, 0.000, 0.500)
Mn (0.000, 0.500, 0.000)
Mn (0.500, 0.000, 0.000)
Tl (0.500, 0.500, 0.500)
Fe (0.000, 0.000, 0.000)

Crystal system: cubic
Space group: Pm-3m, No. 221



Entry from the Alexandria database: a relaxed Mn4TlFe crystal (PBE).

Unit cell a=4.809 b=4.809 c=4.809 alpha=60.00 beta=60.00 gamma=60.00
Fractional coordinates of all 6 atoms:
Mn (0.125, 0.125, 0.125)
Mn (0.125, 0.125, 0.625)
Mn (0.125, 0.625, 0.125)
Mn (0.625, 0.125, 0.125)
Tl (0.500, 0.500, 0.500)
Fe (0.750, 0.750, 0.750)

Crystal system: cubic
Space group: F-43m, No. 216



Entry from the Alexandria database: a relaxed MnTlFe2 crystal (PBE).

Unit cell a=4.264 b=4.264 c=4.264 alpha=60.00 beta=60.00 gamma=60.00
Fractional coordinates of all 4 atoms:
Mn (0.000, 0.000, 0.000)
Tl (0.500, 0.500, 0.500)
Fe (0.250, 0.250, 0.250)
Fe (0.750, 0.750, 0.750)

Crystal system: cubic
Distance to the lowest polymorph of the same formula: 26.3 kJ/mol of atoms
Space group: Fm-3m, No. 225



Entry from the Alexandria database: a relaxed MnTlFe2 crystal (PBE).

Unit cell a=5.640 b=5.640 c=5.640 alpha=102.67 beta=102.67 gamma=124.14
Fractional coordinates of all 8 atoms:
Mn (0.000, 0.000, 0.000)
Mn (0.750, 0.250, 0.500)
Tl (0.250, 0.750, 0.500)
Tl (0.500, 0.500, 0.000)
Fe (0.107, 0.125, 0.482)
Fe (0.375, 0.893, 0.018)
Fe (0.643, 0.625, 0.518)
Fe (0.875, 0.357, 0.982)

Crystal system: tetragonal
Distance to the lowest polymorph of the same formula: 43.4 kJ/mol of atoms
Space group: I-42d, No. 122



Entry from the Alexandria database: a relaxed ZrMnTl2Fe crystal (PBE).

Unit cell a=5.634 b=5.634 c=4.696 alpha=90.00 beta=90.00 gamma=90.00
Fractional coordinates of all 5 atoms:
Zr (0.000, 0.000, 0.000)
Mn (0.000, 0.000, 0.500)
Tl (0.000, 0.500, 0.000)
Tl (0.500, 0.000, 0.000)
Fe (0.500, 0.500, 0.500)

Crystal system: tetragonal
Space group: P4/mmm, No. 123



Entry from the Alexandria database: a relaxed Tm2Mn2Fe15 crystal (PBE).

Unit cell a=6.277 b=6.277 c=6.277 alpha=82.10 beta=82.10 gamma=82.10
Fractional coordinates of all 19 atoms:
Tm (0.154, 0.154, 0.154)
Tm (0.846, 0.846, 0.846)
Mn (0.410, 0.410, 0.410)
Mn (0.590, 0.590, 0.590)
Fe (0.000, 0.500, 0.500)
Fe (0.162, 0.162, 0.654)
Fe (0.162, 0.654, 0.162)
Fe (0.195, 0.500, 0.805)
Fe (0.195, 0.805, 0.500)
Fe (0.346, 0.838, 0.838)
Fe (0.500, 0.000, 0.500)
Fe (0.500, 0.195, 0.805)
Fe (0.500, 0.500, 0.000)
Fe (0.500, 0.805, 0.195)
Fe (0.654, 0.162, 0.162)
Fe (0.805, 0.195, 0.500)
Fe (0.805, 0.500, 0.195)
Fe (0.838, 0.346, 0.838)
Fe (0.838, 0.838, 0.346)

Crystal system: trigonal
Space group: R-3m, No. 166



Entry from the Alexandria database: a relaxed Tm2Mn15Fe2 crystal (PBE).

Unit cell a=6.283 b=6.283 c=6.283 alpha=86.38 beta=86.38 gamma=86.38
Fractional coordinates of all 19 atoms:
Tm (0.149, 0.149, 0.149)
Tm (0.851, 0.851, 0.851)
Mn (0.000, 0.500, 0.500)
Mn (0.142, 0.142, 0.624)
Mn (0.142, 0.624, 0.142)
Mn (0.227, 0.500, 0.773)
Mn (0.227, 0.773, 0.500)
Mn (0.376, 0.858, 0.858)
Mn (0.500, 0.000, 0.500)
Mn (0.500, 0.227, 0.773)
Mn (0.500, 0.500, 0.000)
Mn (0.500, 0.773, 0.227)
Mn (0.624, 0.142, 0.142)
Mn (0.773, 0.227, 0.500)
Mn (0.773, 0.500, 0.227)
Mn (0.858, 0.376, 0.858)
Mn (0.858, 0.858, 0.376)
Fe (0.397, 0.397, 0.397)
Fe (0.603, 0.603, 0.603)

Crystal system: trigonal
Space group: R-3m, No. 166



Entry from the Alexandria database: a relaxed TmMn9Fe3 crystal (PBE).

Unit cell a=6.283 b=6.283 c=6.286 alpha=97.80 beta=97.80 gamma=136.37
Fractional coordinates of all 13 atoms:
Tm (0.000, 0.000, 0.000)
Mn (0.000, 0.361, 0.361)
Mn (0.000, 0.639, 0.639)
Mn (0.277, 0.501, 0.775)
Mn (0.361, 0.000, 0.361)
Mn (0.499, 0.723, 0.225)
Mn (0.500, 0.500, 0.500)
Mn (0.501, 0.277, 0.775)
Mn (0.639, 0.000, 0.639)
Mn (0.723, 0.499, 0.225)
Fe (0.000, 0.000, 0.500)
Fe (0.000, 0.500, 0.000)
Fe (0.500, 0.000, 0.000)

Crystal system: monoclinic
Space group: C2/m, No. 12



Entry from the Alexandria database: a relaxed TmMn2Fe9 crystal (PBE).

Unit cell a=8.218 b=8.218 c=8.218 alpha=34.04 beta=34.04 gamma=34.04
Fractional coordinates of all 12 atoms:
Tm (0.000, 0.000, 0.000)
Mn (0.147, 0.147, 0.147)
Mn (0.853, 0.853, 0.853)
Fe (0.082, 0.589, 0.589)
Fe (0.334, 0.334, 0.334)
Fe (0.411, 0.411, 0.918)
Fe (0.411, 0.918, 0.411)
Fe (0.500, 0.500, 0.500)
Fe (0.589, 0.082, 0.589)
Fe (0.589, 0.589, 0.082)
Fe (0.666, 0.666, 0.666)
Fe (0.918, 0.411, 0.411)

Crystal system: trigonal
Space group: R-3m, No. 166



Entry from the Alexandria database: a relaxed TmMn5Fe crystal (PBE).

Unit cell a=7.903 b=4.765 c=9.780 alpha=90.00 beta=90.00 gamma=90.00
Fractional coordinates of all 28 atoms:
Tm (0.246, 0.250, 0.065)
Tm (0.254, 0.750, 0.565)
Tm (0.746, 0.250, 0.435)
Tm (0.754, 0.750, 0.935)
Mn (0.053, 0.750, 0.088)
Mn (0.074, 0.014, 0.307)
Mn (0.074, 0.486, 0.307)
Mn (0.084, 0.250, 0.529)
Mn (0.191, 0.250, 0.760)
Mn (0.309, 0.750, 0.260)
Mn (0.416, 0.750, 0.029)
Mn (0.426, 0.514, 0.807)
Mn (0.426, 0.986, 0.807)
Mn (0.447, 0.250, 0.588)
Mn (0.553, 0.750, 0.412)
Mn (0.574, 0.014, 0.193)
Mn (0.574, 0.486, 0.193)
Mn (0.584, 0.250, 0.971)
Mn (0.691, 0.250, 0.740)
Mn (0.809, 0.750, 0.240)
Mn (0.916, 0.750, 0.471)
Mn (0.926, 0.514, 0.693)
Mn (0.926, 0.986, 0.693)
Mn (0.947, 0.250, 0.912)
Fe (0.139, 0.750, 0.852)
Fe (0.361, 0.250, 0.352)
Fe (0.639, 0.750, 0.648)
Fe (0.861, 0.250, 0.148)

Crystal system: orthorhombic
Space group: Pnma, No. 62



Entry from the Alexandria database: a relaxed TmMnFe crystal (PBE).

Unit cell a=6.010 b=5.065 c=4.869 alpha=74.43 beta=54.27 gamma=51.30
Fractional coordinates of all 6 atoms:
Tm (0.166, 0.834, 0.166)
Tm (0.834, 0.166, 0.834)
Mn (0.366, 0.366, 0.634)
Mn (0.634, 0.634, 0.366)
Fe (0.250, 0.250, 0.250)
Fe (0.750, 0.750, 0.750)

Crystal system: orthorhombic
Space group: Fmmm, No. 69



Short version: energy = -26.262, -26.172, -26.730, -25.773, -26.679, -25.394, -26.795, -27.012, -26.708, -33.815, -44.639, -25.923, -50.421, -23.892, -154.371, -163.137, -112.410, -98.135, -233.835, -41.662 eV for the cell shown, in the order given.
Short version: E_form = 0.550, 0.572, 0.433, 0.672, 0.445, 2.306, 0.417, 0.362, 0.438, 0.905, 0.478, 0.635, 0.813, 1.404, -0.008, 0.014, -0.002, 0.070, 0.046, 0.424 eV per atom, in the order given.